K3Pu3USe8 | PBE-GGA | relaxed

* E_form (uncorrected): -1.424 eV/atom
* SG: R-3m (166)

The structure in POSCAR format:
```
K3Pu3USe8
1.0
8.4779 0.0001 0.0000
-4.2389 7.3418 -0.0293
-0.0001 -4.8657 7.7687
U Pu K Se
1 3 3 8
Cartesian
0.0000 -2.4328 3.8844
-2.1195 1.2381 3.8697
4.2389 -2.4328 3.8844
2.1195 1.2381 3.8697
0.0000 0.0000 0.0000
-2.1194 3.6709 -0.0147
2.1195 3.6710 -0.0147
-2.1766 3.7246 5.3994
0.0000 -0.0453 5.4145
4.2390 2.5216 2.3249
0.0000 2.4554 2.2865
2.1767 3.7246 5.3994
2.0623 -1.2484 2.3400
4.2389 0.0208 5.4529
6.4156 -1.2484 2.3400
```

=====

RuSe2S | PBE-GGA | relaxed

* E_form (uncorrected): 0.307 eV/atom
* SG: I-42d (122)

The structure in POSCAR format:
```
RuSe2S
1.0
-4.0435 0.4119 4.9551
2.6922 -5.1883 2.6281
2.2142 0.1971 5.9349
Se Ru S
4 2 2
Cartesian
1.0408 -1.4255 7.1846
0.5913 -4.2494 11.1969
1.9005 -3.1592 3.5377
-1.8069 -0.3245 5.1173
0.0000 0.0000 0.0000
-1.2525 -0.8896 7.3409
-0.6757 -2.3882 3.7916
2.1153 -3.6897 6.1774
```

=====

Rb2NaPd | PBE-GGA | relaxed

* SG: P4/mmm (123)
* formation energy: 1.0 eV per formula unit

The structure in POSCAR format:
```
Rb2NaPd
1.0
-1.3339 -1.8330 -4.5821
-4.4541 -2.4275 2.2677
-2.9888 4.5839 -0.9636
Pd Rb Na
1 2 1
Cartesian
-0.6670 -0.9165 -2.2911
-1.4944 2.2920 -0.4818
-2.2270 -1.2137 1.1339
-4.3884 0.1617 -1.6390
```

=====

ZnNi2 | PBE-GGA | relaxed

* SG: Fm-3m (225)
* formation energy: 0.9 eV per formula unit

The structure in POSCAR format:
```
ZnNi2
1.0
3.8802 0.0000 0.0000
1.9401 3.3604 0.0000
1.9401 1.1201 3.1682
Zn Ni
1 2
Cartesian
0.0000 0.0000 0.0000
1.9401 1.1201 0.7920
5.8203 3.3604 2.3761
```

=====

K3C | PBE-GGA | relaxed

* energy above the lowest structure with this stoichiometry: 25.86 kJ/mol of atoms
* SG: I4/mmm (139)
* formation energy: 5.3 eV per formula unit

The structure in POSCAR format:
```
K3C
1.0
-5.3453 -1.0541 1.9354
1.3212 -1.0488 5.5302
1.5772 4.7271 -2.9319
K C
3 1
Cartesian
-2.0120 -1.0514 3.7328
0.4432 1.3135 3.1656
-2.8901 1.3108 1.3682
0.0000 0.0000 0.0000
```

=====

GaFeCu2Sb | PBE-GGA | relaxed

* E_form (uncorrected): 0.652 eV/atom
* SG: P4/mmm (123)

The structure in POSCAR format:
```
GaFeCu2Sb
1.0
4.5269 0.0000 0.0000
0.0000 4.5069 0.0000
0.0000 0.0000 4.5269
Cu Ga Fe Sb
2 1 1 1
Cartesian
2.2635 0.0000 0.0000
0.0000 0.0000 2.2635
0.0000 2.2535 0.0000
0.0000 0.0000 0.0000
2.2635 2.2535 2.2635
```

=====

SmEuNi | PBE-GGA | relaxed

* energy above the lowest structure with this stoichiometry: 0.00 kJ/mol of atoms
* SG: I4mm (107)
* formation energy: -0.4 eV per formula unit

The structure in POSCAR format:
```
SmEuNi
1.0
3.5317 0.0000 0.0000
0.0000 3.5317 0.0000
-1.7658 -1.7658 6.4332
Eu Sm Ni
1 1 1
Cartesian
0.0000 0.0000 0.4083
0.0000 0.0000 3.7273
1.7658 1.7658 2.2977
```

=====

Dy4Cd3Co | PBE-GGA | relaxed

* SG: P4/mmm (123)
* formation energy: -2.2 eV per formula unit

The structure in POSCAR format:
```
Dy4Cd3Co
1.0
3.4377 0.0000 0.0000
0.0000 3.4377 0.0000
0.0000 0.0000 16.3798
Cd Dy Co
3 4 1
Cartesian
1.7188 1.7188 3.8534
1.7188 1.7188 8.1899
1.7188 1.7188 12.5264
0.0000 0.0000 14.7589
0.0000 0.0000 1.6208
0.0000 0.0000 5.9963
0.0000 0.0000 10.3835
1.7188 1.7188 0.0000
```

=====

Th2InMo | PBE-GGA | relaxed

* energy above the lowest structure with this stoichiometry: 39.25 kJ/mol of atoms
* SG: R-3m (166)
* formation energy: 1.7 eV per formula unit

The structure in POSCAR format:
```
Th2InMo
1.0
-0.9128 -3.2525 0.7753
0.0565 -2.4474 -2.4536
10.2714 -4.2468 2.0247
Th In Mo
2 1 1
Cartesian
2.3293 -6.4081 -0.8985
7.0857 -3.5386 1.2449
0.0000 0.0000 0.0000
4.7075 -4.9734 0.1732
```

=====

LaTl2Ni | PBE-GGA | relaxed

* SG: P4mm (99)
* formation energy: -0.3 eV per formula unit

The structure in POSCAR format:
```
LaTl2Ni
1.0
3.4871 0.0107 0.0000
-0.0113 3.4871 0.0000
0.0000 0.0000 8.4019
La Tl Ni
1 2 1
Cartesian
0.0000 0.0000 4.6968
1.7379 1.7489 2.0335
0.0000 0.0000 7.9941
1.7379 1.7489 6.2801
```

=====

PdIO2F | PBE-GGA | relaxed

* E_form (uncorrected): 0.067 eV/atom
* SG: P4/mmm (123)

The structure in POSCAR format:
```
PdIO2F
1.0
-2.5588 2.3891 1.4872
-1.7775 0.1864 -3.3575
-4.0273 -5.4521 1.8295
O I F Pd
2 1 1 1
Cartesian
-0.8887 0.0932 -1.6788
-1.2794 1.1946 0.7436
-2.0137 -2.7261 0.9147
-4.1818 -1.4383 -0.0204
0.0000 0.0000 0.0000
```

=====

ZrMo2Pb | PBE-GGA | relaxed

* SG: Cmm2 (35)
* formation energy: 1.1 eV per formula unit

The structure in POSCAR format:
```
ZrMo2Pb
1.0
3.0515 -0.0135 0.0000
-1.1745 2.8164 0.0000
0.0000 0.0000 9.2858
Zr Mo Pb
1 2 1
Cartesian
0.9385 1.4015 7.1834
0.9385 1.4015 2.0823
0.0000 0.0000 0.1332
0.0000 0.0000 4.5298
```

=====

Mass density values (in g/cm3) by entry order: 5.918; 5.312; 3.160; 7.348; 1.713; 6.732; 7.471; 8.975; 9.687; 9.855; 4.648; 10.221.